(1)
# PBE MgGaAu2, optimized geometry
data_MgGaAu2
_cell_length_a 6.615
_cell_length_b 6.615
_cell_length_c 6.615
_cell_angle_alpha 90.00
_cell_angle_beta 90.00
_cell_angle_gamma 90.00
_symmetry_space_group_name_H-M 'F -4 3 m'
_symmetry_Int_Tables_number 216
_symmetry_space_group_name_Hall 'F -4 2 3'
loop_
_atom_site_label
_atom_site_fract_x
_atom_site_fract_y
_atom_site_fract_z
_atom_site_occupancy
Mg1 0.000 0.000 0.000 1
Ga1 0.250 0.250 0.750 1
Au1 0.000 0.000 0.500 1
Au2 0.250 0.250 0.250 1
# - crystal system = cubic


(2)
# PBE MgGaAu, optimized geometry
data_MgGaAu
_cell_length_a 7.4493
_cell_length_b 7.4493
_cell_length_c 3.4078
_cell_angle_alpha 90.00
_cell_angle_beta 90.00
_cell_angle_gamma 120.00
_symmetry_space_group_name_H-M 'P -6 2 m'
_symmetry_Int_Tables_number 189
_symmetry_space_group_name_Hall 'P -6 -2'
loop_
_atom_site_label
_atom_site_fract_x
_atom_site_fract_y
_atom_site_fract_z
_atom_site_occupancy
Mg1 0.0000 0.6154 0.0000 1
Ga1 0.0000 0.2818 0.5000 1
Au1 0.0000 0.0000 0.0000 1
Au2 0.3333 0.6667 0.5000 1
# - crystal system = hexagonal


(3)
# PBE MgGaAu, optimized geometry
data_MgGaAu
_cell_length_a 7.2277
_cell_length_b 7.2277
_cell_length_c 3.6800
_cell_angle_alpha 90.00
_cell_angle_beta 90.00
_cell_angle_gamma 120.00
_symmetry_space_group_name_H-M 'P -6 2 m'
_symmetry_Int_Tables_number 189
_symmetry_space_group_name_Hall 'P -6 -2'
loop_
_atom_site_label
_atom_site_fract_x
_atom_site_fract_y
_atom_site_fract_z
_atom_site_occupancy
Mg1 0.0000 0.6054 0.0000 1
Ga1 0.0000 0.2693 0.5000 1
Au1 0.0000 0.0000 0.0000 1
Au2 0.3333 0.6667 0.5000 1
# - crystal system = hexagonal


(4)
# PBE MgGaAu2, optimized geometry
data_MgGaAu2
_cell_length_a 4.4380
_cell_length_b 4.4380
_cell_length_c 8.7635
_cell_angle_alpha 90.00
_cell_angle_beta 90.00
_cell_angle_gamma 120.00
_symmetry_space_group_name_H-M 'P 63/m m c'
_symmetry_Int_Tables_number 194
_symmetry_space_group_name_Hall '-P 6c 2c'
loop_
_atom_site_label
_atom_site_fract_x
_atom_site_fract_y
_atom_site_fract_z
_atom_site_occupancy
Mg1 0.3333 0.6667 0.2500 1
Ga1 0.0000 0.0000 0.0000 1
Au1 0.3333 0.6667 0.5906 1
# - crystal system = hexagonal


Final energy for the records above, in order: -3.04 -3.06 -3.05 -3.21 eV/atom